Below is SrEuHfFeO6 after structural relaxation, with properties calculated at the PBE with a Hubbard U level.

Unit cell a=5.594 b=5.594 c=5.594 alpha=60.00 beta=60.00 gamma=60.00
Element x y z (fractional)
O  0.241  0.241  0.759
O  0.759  0.759  0.241
O  0.241  0.759  0.241
O  0.241  0.759  0.759
O  0.759  0.241  0.759
O  0.759  0.241  0.241
Fe  0.000  0.000  0.000
Eu  0.750  0.750  0.750
Hf  0.500  0.500  0.500
Sr  0.250  0.250  0.250

Output
**D(E_F)**: 1.642 states/eV per atom
**Electronic total energy**: -8.189 eV per atom